A plane-wave DFT calculation with PBE was carried out for crystalline LaRe3As at its relaxed geometry.

Cell lengths 4.6818, 4.6818, 4.6818 Å; angles 90.00, 90.00, 90.00 degrees
Last column: nearest neighbours and their distance in Å.
Fractional positions:
Re  0.0000  0.0000  0.5000  2 As 2.34
Re  0.5000  0.0000  0.0000  2 As 2.34
Re  0.0000  0.5000  0.0000  2 As 2.34
La  0.5000  0.5000  0.5000  12 Re 3.31
As  0.0000  0.0000  0.0000  6 Re 2.34

## Properties
The value obtained for the formation energy is 97.7 kJ per mole of atoms. For the density of states at the Fermi level, the calculation gives 10.351 states/eV/f.u. For the magnetization, the calculation gives 0.00 μB per atom.

=====

A plane-wave DFT calculation with PBE was carried out for crystalline La4ReAs at its relaxed geometry.

Cell lengths 6.1562, 6.1562, 6.1562 Å; angles 60.00, 60.00, 60.00 degrees
Last column: nearest neighbours and their distance in Å.
Fractional positions:
Re  0.7500  0.7500  0.7500  12 La 3.61, 4 As 3.77
La  0.3759  0.3759  0.8724  6 La 3.06-3.10
La  0.8724  0.3759  0.3759  6 La 3.06-3.10
La  0.3759  0.8724  0.3759  6 La 3.06-3.10
La  0.3759  0.3759  0.3759  6 La 3.06-3.10
As  0.0000  0.0000  0.0000  12 La 3.61, 4 Re 3.77

## Properties
The value obtained for the formation energy is 71.7 kJ per mole of atoms. For the density of states at the Fermi level, the calculation gives 7.995 states/eV/f.u. For the magnetization, the calculation gives 0.00 μB per atom.

=====

Please write out number 1 again, unchanged.
A plane-wave DFT calculation with PBE was carried out for crystalline LaRe3As at its relaxed geometry.

Cell lengths 4.6818, 4.6818, 4.6818 Å; angles 90.00, 90.00, 90.00 degrees
Last column: nearest neighbours and their distance in Å.
Fractional positions:
Re  0.0000  0.0000  0.5000  2 As 2.34
Re  0.5000  0.0000  0.0000  2 As 2.34
Re  0.0000  0.5000  0.0000  2 As 2.34
La  0.5000  0.5000  0.5000  12 Re 3.31
As  0.0000  0.0000  0.0000  6 Re 2.34

## Properties
The value obtained for the formation energy is 97.7 kJ per mole of atoms. For the density of states at the Fermi level, the calculation gives 10.351 states/eV/f.u. For the magnetization, the calculation gives 0.00 μB per atom.